No. 1
# PBE-GGA TiFeBi2, optimized geometry
data_TiFeBi2
_chemical_formula_sum 'Ti4 Fe4 Bi8'
_cell_length_a 6.968
_cell_length_b 6.968
_cell_length_c 6.968
_cell_angle_alpha 90.00
_cell_angle_beta 90.00
_cell_angle_gamma 90.00
_symmetry_space_group_name_H-M 'F m -3 m'
_symmetry_Int_Tables_number 225
_symmetry_space_group_name_Hall '-F 4 2 3'
loop_
_atom_site_label
_atom_site_fract_x
_atom_site_fract_y
_atom_site_fract_z
Ti1 0.000 0.000 0.000
Fe1 0.000 0.000 0.500
Bi1 0.250 0.250 0.250
# DFT total energy (eV per atom): -5.664
# V (Å³ per atom): 21.14
# D(E_F) (states/eV/atom): 0.590
# ΔE to the lowest computed polymorph (kJ/mol of atoms): 0.0
# Calculated density (g/cm3): 10.243

No. 2
# PBE-GGA CaNd6Sn4, optimized geometry
data_CaNd6Sn4
_chemical_formula_sum 'Ca2 Nd12 Sn8'
_cell_length_a 8.145
_cell_length_b 8.145
_cell_length_c 12.039
_cell_angle_alpha 90.00
_cell_angle_beta 90.00
_cell_angle_gamma 90.00
_symmetry_space_group_name_H-M 'I -4 2 m'
_symmetry_Int_Tables_number 121
_symmetry_space_group_name_Hall 'I -4 2'
loop_
_atom_site_label
_atom_site_fract_x
_atom_site_fract_y
_atom_site_fract_z
Ca1 0.000 0.000 0.000
Nd1 0.000 0.500 0.000
Nd2 0.158 0.158 0.334
Sn1 0.224 0.224 0.600
# DFT total energy (eV per atom): -4.622
# V (Å³ per atom): 36.30
# D(E_F) (states/eV/atom): 1.073
# Calculated density (g/cm3): 5.740

No. 3
# PBE-GGA Sc2PdPbC, optimized geometry
data_Sc2PdPbC
_chemical_formula_sum 'Sc2 Pd1 Pb1 C1'
_cell_length_a 4.543
_cell_length_b 4.543
_cell_length_c 4.314
_cell_angle_alpha 90.00
_cell_angle_beta 90.00
_cell_angle_gamma 90.00
_symmetry_space_group_name_H-M 'P 4/m m m'
_symmetry_Int_Tables_number 123
_symmetry_space_group_name_Hall '-P 4 2'
loop_
_atom_site_label
_atom_site_fract_x
_atom_site_fract_y
_atom_site_fract_z
Sc1 0.000 0.500 0.000
Pd1 0.000 0.000 0.500
Pb1 0.500 0.500 0.500
C1 0.000 0.000 0.000
# DFT total energy (eV per atom): -6.577
# V (Å³ per atom): 17.80
# D(E_F) (states/eV/atom): 0.643
# Calculated density (g/cm3): 7.752

No. 4
# PBE-GGA KBi2As2, optimized geometry
data_KBi2As2
_chemical_formula_sum 'K2 Bi4 As4'
_cell_length_a 5.500
_cell_length_b 5.500
_cell_length_c 10.942
_cell_angle_alpha 90.00
_cell_angle_beta 90.00
_cell_angle_gamma 90.00
_symmetry_space_group_name_H-M 'I 4/m m m'
_symmetry_Int_Tables_number 139
_symmetry_space_group_name_Hall '-I 4 2'
loop_
_atom_site_label
_atom_site_fract_x
_atom_site_fract_y
_atom_site_fract_z
K1 0.000 0.000 0.000
Bi1 0.000 0.000 0.346
As1 0.000 0.500 0.250
# DFT total energy (eV per atom): -3.784
# V (Å³ per atom): 33.09
# D(E_F) (states/eV/atom): 0.239
# ΔE to the lowest computed polymorph (kJ/mol of atoms): 0.0
# Calculated density (g/cm3): 6.090

No. 5
# PBE-GGA LaPm4Pr15, optimized geometry
data_LaPm4Pr15
_chemical_formula_sum 'La1 Pm4 Pr15'
_cell_length_a 5.249
_cell_length_b 5.249
_cell_length_c 26.170
_cell_angle_alpha 90.00
_cell_angle_beta 90.00
_cell_angle_gamma 90.00
_symmetry_space_group_name_H-M 'P 4/m m m'
_symmetry_Int_Tables_number 123
_symmetry_space_group_name_Hall '-P 4 2'
loop_
_atom_site_label
_atom_site_fract_x
_atom_site_fract_y
_atom_site_fract_z
La1 0.000 0.000 0.000
Pm1 0.000 0.000 0.200
Pm2 0.000 0.000 0.400
Pr1 0.000 0.500 0.101
Pr2 0.000 0.500 0.300
Pr3 0.000 0.500 0.500
Pr4 0.500 0.500 0.000
Pr5 0.500 0.500 0.201
Pr6 0.500 0.500 0.400
# DFT total energy (eV per atom): -4.768
# V (Å³ per atom): 36.05
# D(E_F) (states/eV/atom): 1.544
# Calculated density (g/cm3): 6.524

No. 6
# PBE-GGA TiAlTeN2, optimized geometry
data_TiAlTeN2
_chemical_formula_sum 'Ti1 Al1 Te1 N2'
_cell_length_a 3.801
_cell_length_b 3.801
_cell_length_c 5.609
_cell_angle_alpha 90.00
_cell_angle_beta 90.00
_cell_angle_gamma 90.00
_symmetry_space_group_name_H-M 'P 4/m m m'
_symmetry_Int_Tables_number 123
_symmetry_space_group_name_Hall '-P 4 2'
loop_
_atom_site_label
_atom_site_fract_x
_atom_site_fract_y
_atom_site_fract_z
Ti1 0.000 0.000 0.000
Al1 0.500 0.500 0.500
Te1 0.500 0.500 0.000
N1 0.000 0.500 0.500
# DFT total energy (eV per atom): -5.669
# V (Å³ per atom): 16.21
# D(E_F) (states/eV/atom): 1.131
# ΔE to the lowest computed polymorph (kJ/mol of atoms): 33.1
# Calculated density (g/cm3): 4.722
# Energy relative to the elements, uncorrected (meV/atom): 617

No. 7
# PBE-GGA SrPm4Pb3O12, optimized geometry
data_SrPm4Pb3O12
_chemical_formula_sum 'Sr2 Pm8 Pb6 O24'
_cell_length_a 8.770
_cell_length_b 8.770
_cell_length_c 8.770
_cell_angle_alpha 90.00
_cell_angle_beta 90.00
_cell_angle_gamma 90.00
_symmetry_space_group_name_H-M 'I m -3'
_symmetry_Int_Tables_number 204
_symmetry_space_group_name_Hall '-I 2 2 3'
loop_
_atom_site_label
_atom_site_fract_x
_atom_site_fract_y
_atom_site_fract_z
Sr1 0.000 0.000 0.000
Pm1 0.250 0.250 0.250
Pb1 0.000 0.000 0.500
O1 0.000 0.171 0.307
# DFT total energy (eV per atom): -6.755
# V (Å³ per atom): 16.86
# D(E_F) (states/eV/atom): 0.482
# Calculated density (g/cm3): 7.293
# Energy relative to the elements, uncorrected (meV/atom): -2189

No. 8
# PBE-GGA Al2PdI, optimized geometry
data_Al2PdI
_chemical_formula_sum 'Al8 Pd4 I4'
_cell_length_a 6.958
_cell_length_b 6.958
_cell_length_c 6.958
_cell_angle_alpha 90.00
_cell_angle_beta 90.00
_cell_angle_gamma 90.00
_symmetry_space_group_name_H-M 'F m -3 m'
_symmetry_Int_Tables_number 225
_symmetry_space_group_name_Hall '-F 4 2 3'
loop_
_atom_site_label
_atom_site_fract_x
_atom_site_fract_y
_atom_site_fract_z
Al1 0.250 0.250 0.250
Pd1 0.000 0.000 0.000
I1 0.000 0.000 0.500
# DFT total energy (eV per atom): -3.132
# V (Å³ per atom): 21.05
# D(E_F) (states/eV/atom): 0.770
# ΔE to the lowest computed polymorph (kJ/mol of atoms): 45.0
# Calculated density (g/cm3): 5.665
# Energy relative to the elements, uncorrected (meV/atom): 425

No. 9
# PBE-GGA ZnAsCl, optimized geometry
data_ZnAsCl
_chemical_formula_sum 'Zn4 As4 Cl4'
_cell_length_a 6.826
_cell_length_b 3.810
_cell_length_c 11.219
_cell_angle_alpha 90.00
_cell_angle_beta 98.79
_cell_angle_gamma 90.00
_symmetry_space_group_name_H-M 'C 1 2/m 1'
_symmetry_Int_Tables_number 12
loop_
_symmetry_equiv_pos_as_xyz
'x,y,z'
'-x,-y,-z'
'-x,y,-z'
'x,-y,z'
'x+1/2,y+1/2,z'
'-x+1/2,-y+1/2,-z'
'-x+1/2,y+1/2,-z'
'x+1/2,-y+1/2,z'
loop_
_atom_site_label
_atom_site_fract_x
_atom_site_fract_y
_atom_site_fract_z
Zn1 0.010 0.000 0.220
As1 0.214 0.500 0.066
Cl1 0.181 0.500 0.663
# DFT total energy (eV per atom): -3.051
# V (Å³ per atom): 24.03
# D(E_F) (states/eV/atom): 0.178
# ΔE to the lowest computed polymorph (kJ/mol of atoms): 0.0
# Calculated density (g/cm3): 4.049
# Energy relative to the elements, uncorrected (meV/atom): -461

No. 10
# PBE-GGA LuZrAlPd, optimized geometry
data_LuZrAlPd
_chemical_formula_sum 'Lu4 Zr4 Al4 Pd4'
_cell_length_a 6.888
_cell_length_b 6.888
_cell_length_c 6.888
_cell_angle_alpha 90.00
_cell_angle_beta 90.00
_cell_angle_gamma 90.00
_symmetry_space_group_name_H-M 'F -4 3 m'
_symmetry_Int_Tables_number 216
_symmetry_space_group_name_Hall 'F -4 2 3'
loop_
_atom_site_label
_atom_site_fract_x
_atom_site_fract_y
_atom_site_fract_z
Lu1 0.000 0.000 0.000
Zr1 0.000 0.000 0.500
Al1 0.250 0.250 0.750
Pd1 0.250 0.250 0.250
# DFT total energy (eV per atom): -5.975
# V (Å³ per atom): 20.42
# D(E_F) (states/eV/atom): 1.094
# Calculated density (g/cm3): 8.122

No. 11
# PBE-GGA ZnHgBiO2, optimized geometry
data_ZnHgBiO2
_chemical_formula_sum 'Zn1 Hg1 Bi1 O2'
_cell_length_a 4.074
_cell_length_b 4.074
_cell_length_c 5.653
_cell_angle_alpha 90.00
_cell_angle_beta 90.00
_cell_angle_gamma 90.00
_symmetry_space_group_name_H-M 'P 4/m m m'
_symmetry_Int_Tables_number 123
_symmetry_space_group_name_Hall '-P 4 2'
loop_
_atom_site_label
_atom_site_fract_x
_atom_site_fract_y
_atom_site_fract_z
Zn1 0.000 0.000 0.000
Hg1 0.500 0.500 0.500
Bi1 0.000 0.000 0.500
O1 0.000 0.500 0.000
# DFT total energy (eV per atom): -2.965
# V (Å³ per atom): 18.76
# D(E_F) (states/eV/atom): 0.893
# Calculated density (g/cm3): 8.973
# Energy relative to the elements, uncorrected (meV/atom): 110

No. 12
# PBE-GGA Ac5La4Dy2, optimized geometry
data_Ac5La4Dy2
_chemical_formula_sum 'Ac5 La4 Dy2'
_cell_length_a 9.509
_cell_length_b 3.703
_cell_length_c 12.608
_cell_angle_alpha 90.00
_cell_angle_beta 91.57
_cell_angle_gamma 90.00
_symmetry_space_group_name_H-M 'P 1 2/m 1'
_symmetry_Int_Tables_number 10
loop_
_symmetry_equiv_pos_as_xyz
'x,y,z'
'-x,-y,-z'
'-x,y,-z'
'x,-y,z'
loop_
_atom_site_label
_atom_site_fract_x
_atom_site_fract_y
_atom_site_fract_z
Ac1 0.000 0.000 0.000
Ac2 0.195 0.000 0.531
Ac3 0.292 0.000 0.824
La1 0.075 0.500 0.269
La2 0.462 0.500 0.354
Dy1 0.345 0.000 0.117
# DFT total energy (eV per atom): -4.343
# V (Å³ per atom): 40.34
# D(E_F) (states/eV/atom): 1.854
# Calculated density (g/cm3): 7.542

No. 13
# PBE-GGA Ba4Tc3O10, optimized geometry
data_Ba4Tc3O10
_chemical_formula_sum 'Ba8 Tc6 O20'
_cell_length_a 4.038
_cell_length_b 4.038
_cell_length_c 30.113
_cell_angle_alpha 90.00
_cell_angle_beta 90.00
_cell_angle_gamma 90.00
_symmetry_space_group_name_H-M 'I 4/m m m'
_symmetry_Int_Tables_number 139
_symmetry_space_group_name_Hall '-I 4 2'
loop_
_atom_site_label
_atom_site_fract_x
_atom_site_fract_y
_atom_site_fract_z
Ba1 0.000 0.000 0.068
Ba2 0.000 0.000 0.203
Tc1 0.000 0.000 0.362
Tc2 0.000 0.000 0.500
O1 0.000 0.000 0.294
O2 0.000 0.000 0.432
O3 0.000 0.500 0.000
O4 0.000 0.500 0.137
# DFT total energy (eV per atom): -7.276
# V (Å³ per atom): 14.44
# D(E_F) (states/eV/atom): 0.431
# Calculated density (g/cm3): 6.787
# Energy relative to the elements, uncorrected (meV/atom): -2078

No. 14
# PBE-GGA MgPaAs2Rh5, optimized geometry
data_MgPaAs2Rh5
_chemical_formula_sum 'Mg1 Pa1 As2 Rh5'
_cell_length_a 4.184
_cell_length_b 4.184
_cell_length_c 8.498
_cell_angle_alpha 90.00
_cell_angle_beta 90.00
_cell_angle_gamma 90.00
_symmetry_space_group_name_H-M 'P 4/m m m'
_symmetry_Int_Tables_number 123
_symmetry_space_group_name_Hall '-P 4 2'
loop_
_atom_site_label
_atom_site_fract_x
_atom_site_fract_y
_atom_site_fract_z
Mg1 0.000 0.000 0.000
Pa1 0.000 0.000 0.500
As1 0.500 0.500 0.355
Rh1 0.000 0.500 0.221
Rh2 0.500 0.500 0.000
# DFT total energy (eV per atom): -6.911
# V (Å³ per atom): 16.53
# D(E_F) (states/eV/atom): 0.698
# Calculated density (g/cm3): 10.267

No. 15
# PBE-GGA ZnIn2Ru, optimized geometry
data_ZnIn2Ru
_chemical_formula_sum 'Zn2 In4 Ru2'
_cell_length_a 4.125
_cell_length_b 4.125
_cell_length_c 8.337
_cell_angle_alpha 90.00
_cell_angle_beta 90.00
_cell_angle_gamma 90.00
_symmetry_space_group_name_H-M 'I 4/m m m'
_symmetry_Int_Tables_number 139
_symmetry_space_group_name_Hall '-I 4 2'
loop_
_atom_site_label
_atom_site_fract_x
_atom_site_fract_y
_atom_site_fract_z
Zn1 0.000 0.000 0.000
In1 0.000 0.500 0.250
Ru1 0.000 0.000 0.500
# DFT total energy (eV per atom): -3.925
# V (Å³ per atom): 17.73
# D(E_F) (states/eV/atom): 0.530
# Calculated density (g/cm3): 9.276

No. 16
# PBE-GGA Ca4LaAs, optimized geometry
data_Ca4LaAs
_chemical_formula_sum 'Ca16 La4 As4'
_cell_length_a 9.587
_cell_length_b 9.587
_cell_length_c 9.587
_cell_angle_alpha 90.00
_cell_angle_beta 90.00
_cell_angle_gamma 90.00
_symmetry_space_group_name_H-M 'F -4 3 m'
_symmetry_Int_Tables_number 216
_symmetry_space_group_name_Hall 'F -4 2 3'
loop_
_atom_site_label
_atom_site_fract_x
_atom_site_fract_y
_atom_site_fract_z
Ca1 0.125 0.125 0.125
La1 0.250 0.250 0.750
As1 0.000 0.000 0.500
# DFT total energy (eV per atom): -2.662
# V (Å³ per atom): 36.71
# D(E_F) (states/eV/atom): 1.092
# Calculated density (g/cm3): 2.820

No. 17
# PBE-GGA CaGe2OsRu, optimized geometry
data_CaGe2OsRu
_chemical_formula_sum 'Ca2 Ge4 Os2 Ru2'
_cell_length_a 4.278
_cell_length_b 4.278
_cell_length_c 10.096
_cell_angle_alpha 90.00
_cell_angle_beta 90.00
_cell_angle_gamma 90.00
_symmetry_space_group_name_H-M 'I -4 m 2'
_symmetry_Int_Tables_number 119
_symmetry_space_group_name_Hall 'I -4 -2'
loop_
_atom_site_label
_atom_site_fract_x
_atom_site_fract_y
_atom_site_fract_z
Ca1 0.000 0.000 0.000
Ge1 0.000 0.000 0.369
Os1 0.000 0.500 0.750
Ru1 0.000 0.500 0.250
# DFT total energy (eV per atom): -6.724
# V (Å³ per atom): 18.48
# D(E_F) (states/eV/atom): 0.480
# Calculated density (g/cm3): 8.568

No. 18
# PBE-GGA CrHg3, optimized geometry
data_CrHg3
_chemical_formula_sum 'Cr3 Hg9'
_cell_length_a 9.7275
_cell_length_b 9.7275
_cell_length_c 3.2313
_cell_angle_alpha 90.00
_cell_angle_beta 90.00
_cell_angle_gamma 120.00
_symmetry_space_group_name_H-M 'R -3 m'
_symmetry_Int_Tables_number 166
_symmetry_space_group_name_Hall '-R 3 2"'
loop_
_atom_site_label
_atom_site_fract_x
_atom_site_fract_y
_atom_site_fract_z
Cr1 0.0000 0.0000 0.0000
Hg1 0.0000 0.5000 0.0000
# DFT total energy (eV per atom): -2.229
# V (Å³ per atom): 22.07
# D(E_F) (states/eV/atom): 0.527
# Calculated density (g/cm3): 12.299

No. 19
# PBE-GGA K2CdIn, optimized geometry
data_K2CdIn
_chemical_formula_sum 'K8 Cd4 In4'
_cell_length_a 9.824
_cell_length_b 9.824
_cell_length_c 6.637
_cell_angle_alpha 90.00
_cell_angle_beta 90.00
_cell_angle_gamma 90.00
_symmetry_space_group_name_H-M 'I -4 2 d'
_symmetry_Int_Tables_number 122
_symmetry_space_group_name_Hall 'I -4 2bw'
loop_
_atom_site_label
_atom_site_fract_x
_atom_site_fract_y
_atom_site_fract_z
K1 0.239 0.250 0.125
Cd1 0.000 0.000 0.000
In1 0.000 0.000 0.500
# DFT total energy (eV per atom): -1.341
# V (Å³ per atom): 40.04
# D(E_F) (states/eV/atom): 0.914
# Calculated density (g/cm3): 3.167

No. 20
# PBE-GGA TcNi2SbSe, optimized geometry
data_TcNi2SbSe
_chemical_formula_sum 'Tc1 Ni2 Sb1 Se1'
_cell_length_a 4.668
_cell_length_b 4.668
_cell_length_c 4.597
_cell_angle_alpha 90.00
_cell_angle_beta 90.00
_cell_angle_gamma 90.00
_symmetry_space_group_name_H-M 'P 4/m m m'
_symmetry_Int_Tables_number 123
_symmetry_space_group_name_Hall '-P 4 2'
loop_
_atom_site_label
_atom_site_fract_x
_atom_site_fract_y
_atom_site_fract_z
Tc1 0.000 0.000 0.000
Ni1 0.000 0.500 0.000
Sb1 0.500 0.500 0.500
Se1 0.000 0.000 0.500
# DFT total energy (eV per atom): -5.083
# V (Å³ per atom): 20.03
# D(E_F) (states/eV/atom): 0.954
# Calculated density (g/cm3): 6.899
# Energy relative to the elements, uncorrected (meV/atom): 824